Here is an optimized crystal structure of KAsO2 from the Alexandria database. Energies are from PBE.

Unit cell a=5.7735 b=5.7735 c=6.2149 alpha=62.32 beta=62.32 gamma=90.00
With the nearest neighbours (Å) after each atom.
Element x y z (fractional)
As  0.0000  0.0000  0.0000  4 O 2.03
As  0.7500  0.2500  0.5000  4 O 2.03
K  0.5000  0.5000  0.0000  4 O 2.78
K  0.2500  0.7500  0.5000  4 O 2.78
O  0.7328  0.1250  0.2500  2 As 2.03
O  0.0172  0.6250  0.2500  2 As 2.03
O  0.3750  0.2672  0.7500  2 As 2.03
O  0.8750  0.9828  0.7500  2 As 2.03

## Properties
Raw formation energy   -1.11 eV/atom
Density of states at the Fermi level   0.000 states/eV per atom